# 1
A plane-wave DFT calculation with PBE was carried out for a geometry-optimized CeInHgIr structure.

VASP energy: -75.91 eV for the cell shown
total moment: 0.77 μB/cell

```
data_CeInHgIr
_cell_length_a 7.055
_cell_length_b 7.055
_cell_length_c 7.055
_cell_angle_alpha 90.00
_cell_angle_beta 90.00
_cell_angle_gamma 90.00
_space_group_name_H-M_alt 'F -4 3 m'
_space_group_IT_number 216
_space_group_name_Hall 'F -4 2 3'
loop_
_atom_site_label
_atom_site_fract_x
_atom_site_fract_y
_atom_site_fract_z
_atom_site_occupancy
Ce1 0.000 0.000 0.000 1
In1 0.000 0.000 0.500 1
Hg1 0.250 0.250 0.250 1
Ir1 0.250 0.250 0.750 1
```

# 2
A plane-wave DFT calculation with PBE was carried out for a geometry-optimized Ce3In3Hg2Ir structure.

VASP energy: -39.01 eV for the cell shown
total moment: 2.61 μB/cell

```
data_Ce3In3Hg2Ir
_cell_length_a 8.4635
_cell_length_b 8.4635
_cell_length_c 3.7812
_cell_angle_alpha 90.00
_cell_angle_beta 90.00
_cell_angle_gamma 120.00
_space_group_name_H-M_alt 'P -6 2 m'
_space_group_IT_number 189
_space_group_name_Hall 'P -6 -2'
loop_
_atom_site_label
_atom_site_fract_x
_atom_site_fract_y
_atom_site_fract_z
_atom_site_occupancy
Ce1 0.0000 0.7384 0.0000 1
In1 0.0000 0.3867 0.5000 1
Hg1 0.3333 0.6667 0.0000 1
Ir1 0.0000 0.0000 0.5000 1
```

# 3
A plane-wave DFT calculation with PBE was carried out for a geometry-optimized Ce2InHgIr structure.

VASP energy: -52.20 eV for the cell shown
total moment: 2.47 μB/cell

```
data_Ce2InHgIr
_cell_length_a 8.086
_cell_length_b 4.141
_cell_length_c 8.166
_cell_angle_alpha 90.00
_cell_angle_beta 109.27
_cell_angle_gamma 90.00
_space_group_name_H-M_alt 'P 1 21/m 1'
_space_group_IT_number 11
loop_
_space_group_symop_operation_xyz
'x,y,z'
'-x,-y,-z'
'-x,y+1/2,-z'
'x,-y+1/2,z'
loop_
_atom_site_label
_atom_site_fract_x
_atom_site_fract_y
_atom_site_fract_z
_atom_site_occupancy
Ce1 0.011 0.250 0.212 1
Ce2 0.337 0.750 0.606 1
In1 0.324 0.750 0.197 1
Hg1 0.343 0.250 0.947 1
Ir1 0.101 0.250 0.611 1
```